Here is a geometry-optimized Pm3Sm6Mg structure from Alexandria via LeMat-Bulk. Energies are from PBE.

**Volume**: 33.5 Å³ per atom
**ΔE_f**: 0.0996 eV/atom
**M_tot**: 0.000 μB per formula unit

```
data_Pm3Sm6Mg
_cell_length_a 7.5852
_cell_length_b 18.7547
_cell_length_c 9.4277
_cell_angle_alpha 90.00
_cell_angle_beta 90.00
_cell_angle_gamma 90.00
_space_group_name_H-M_alt 'C m c 21'
_space_group_IT_number 36
_space_group_name_Hall 'C 2c -2'
loop_
_atom_site_label
_atom_site_fract_x
_atom_site_fract_y
_atom_site_fract_z
_atom_site_occupancy
Pm1 0.0000 0.0414 0.0000 1
Pm2 0.2487 0.1253 0.6670 1
Sm1 0.0000 0.2092 0.3291 1
Sm2 0.0000 0.4569 0.4931 1
Sm3 0.2409 0.4351 0.7985 1
Sm4 0.2489 0.3051 0.5331 1
Mg1 0.0000 0.2852 0.8180 1
```

Here is a geometry-optimized Li3TiH6 structure from Alexandria via LeMat-Bulk. Energies are from PBE.

**Volume**: 7.8 Å³ per atom
**M_tot**: 0.803 μB per formula unit
**Total DFT energy (no corrections)**: -3.65 eV per atom

```
data_Li3TiH6
_cell_length_a 5.0935
_cell_length_b 9.7512
_cell_length_c 3.1218
_cell_angle_alpha 90.00
_cell_angle_beta 90.00
_cell_angle_gamma 90.00
_space_group_name_H-M_alt 'P n n m'
_space_group_IT_number 58
_space_group_name_Hall '-P 2 2n'
loop_
_atom_site_label
_atom_site_fract_x
_atom_site_fract_y
_atom_site_fract_z
_atom_site_occupancy
Li1 0.0000 0.0000 0.0000 1
Li2 0.1038 0.2501 0.5000 1
Ti1 0.0000 0.5000 0.0000 1
H1 0.0523 0.6939 0.0000 1
H2 0.1642 0.9070 0.5000 1
H3 0.1661 0.5677 0.5000 1
```

Here is a geometry-optimized ZrTiPd2 structure from Alexandria via LeMat-Bulk. Energies are from PBE.

**Volume**: 17.3 Å³ per atom
**ΔE_f**: -0.5608 eV/atom
**M_tot**: 0.001 μB per formula unit

```
data_ZrTiPd2
_cell_length_a 3.1005
_cell_length_b 3.1005
_cell_length_c 7.1852
_cell_angle_alpha 90.00
_cell_angle_beta 90.00
_cell_angle_gamma 90.00
_space_group_name_H-M_alt 'P 4/m m m'
_space_group_IT_number 123
_space_group_name_Hall '-P 4 2'
loop_
_atom_site_label
_atom_site_fract_x
_atom_site_fract_y
_atom_site_fract_z
_atom_site_occupancy
Zr1 0.0000 0.0000 0.0000 1
Ti1 0.0000 0.0000 0.5000 1
Pd1 0.5000 0.5000 0.2843 1
```

Here is a geometry-optimized Mg2RhSe structure from Alexandria via LeMat-Bulk. Energies are from PBE.

**Volume**: 19.9 Å³ per atom
**M_tot**: 0.000 μB per formula unit
**Energy relative to the elements, uncorrected**: -0.1936 eV per atom

```
data_Mg2RhSe
_cell_length_a 3.2913
_cell_length_b 3.2913
_cell_length_c 25.4153
_cell_angle_alpha 90.00
_cell_angle_beta 90.00
_cell_angle_gamma 120.00
_space_group_name_H-M_alt 'R 3 m'
_space_group_IT_number 160
_space_group_name_Hall 'R 3 -2"'
loop_
_atom_site_label
_atom_site_fract_x
_atom_site_fract_y
_atom_site_fract_z
_atom_site_occupancy
Mg1 0.0000 0.0000 0.0000 1
Mg2 0.0000 0.0000 0.2295 1
Rh1 0.0000 0.0000 0.4830 1
Se1 0.0000 0.0000 0.7537 1
```

Here is a geometry-optimized VIr3Ru structure from Alexandria via LeMat-Bulk. Energies are from PBE.

**Volume**: 18.0 Å³ per atom
**ΔE_f**: 1.4624 eV/atom
**M_tot**: 3.205 μB per formula unit

```
data_VIr3Ru
_cell_length_a 4.4855
_cell_length_b 4.4855
_cell_length_c 4.4855
_cell_angle_alpha 90.00
_cell_angle_beta 90.00
_cell_angle_gamma 90.00
_space_group_name_H-M_alt 'P m -3 m'
_space_group_IT_number 221
_space_group_name_Hall '-P 4 2 3'
loop_
_atom_site_label
_atom_site_fract_x
_atom_site_fract_y
_atom_site_fract_z
_atom_site_occupancy
V1 0.0000 0.0000 0.0000 1
Ir1 0.0000 0.0000 0.5000 1
Ru1 0.5000 0.5000 0.5000 1
```

Here is a geometry-optimized Ca2LaGaH structure from Alexandria via LeMat-Bulk. Energies are from PBE.

**Volume**: 24.3 Å³ per atom
**M_tot**: 0.003 μB per formula unit
**Total DFT energy (no corrections)**: -3.35 eV per atom

```
data_Ca2LaGaH
_cell_length_a 4.9268
_cell_length_b 4.9268
_cell_length_c 5.0024
_cell_angle_alpha 90.00
_cell_angle_beta 90.00
_cell_angle_gamma 90.00
_space_group_name_H-M_alt 'P 4/m m m'
_space_group_IT_number 123
_space_group_name_Hall '-P 4 2'
loop_
_atom_site_label
_atom_site_fract_x
_atom_site_fract_y
_atom_site_fract_z
_atom_site_occupancy
Ca1 0.0000 0.5000 0.0000 1
La1 0.0000 0.0000 0.5000 1
Ga1 0.5000 0.5000 0.5000 1
H1 0.0000 0.0000 0.0000 1
```

Here is a geometry-optimized K2Hg15Bi2 structure from Alexandria via LeMat-Bulk. Energies are from PBE.

**Volume**: 30.0 Å³ per atom
**ΔE_f**: -0.0781 eV/atom
**M_tot**: 0.000 μB per formula unit

```
data_K2Hg15Bi2
_cell_length_a 9.8528
_cell_length_b 9.8528
_cell_length_c 20.3381
_cell_angle_alpha 90.00
_cell_angle_beta 90.00
_cell_angle_gamma 120.00
_space_group_name_H-M_alt 'R -3 m'
_space_group_IT_number 166
_space_group_name_Hall '-R 3 2"'
loop_
_atom_site_label
_atom_site_fract_x
_atom_site_fract_y
_atom_site_fract_z
_atom_site_occupancy
K1 0.0000 0.0000 0.2013 1
Hg1 0.0000 0.2993 0.5000 1
Hg2 0.0000 0.5000 0.0000 1
Hg3 0.0660 0.5330 0.6165 1
Bi1 0.0000 0.0000 0.3865 1
```

Here is a geometry-optimized YTlPb structure from Alexandria via LeMat-Bulk. Energies are from PBE.

**Volume**: 28.8 Å³ per atom
**ΔE_f**: -0.1687 eV/atom
**M_tot**: 0.409 μB per formula unit

```
data_YTlPb
_cell_length_a 3.8815
_cell_length_b 3.8815
_cell_length_c 11.4523
_cell_angle_alpha 90.00
_cell_angle_beta 90.00
_cell_angle_gamma 90.00
_space_group_name_H-M_alt 'I 4 m m'
_space_group_IT_number 107
_space_group_name_Hall 'I 4 -2'
loop_
_atom_site_label
_atom_site_fract_x
_atom_site_fract_y
_atom_site_fract_z
_atom_site_occupancy
Y1 0.0000 0.0000 0.0000 1
Tl1 0.0000 0.0000 0.6663 1
Pb1 0.0000 0.0000 0.3232 1
```

Here is a geometry-optimized ErVB4 structure from Alexandria via LeMat-Bulk. Energies are from PBE.

**Volume**: 10.1 Å³ per atom
**ΔE_f**: 0.2484 eV/atom
**M_tot**: 0.000 μB per formula unit

```
data_ErVB4
_cell_length_a 6.2309
_cell_length_b 6.2309
_cell_length_c 6.2309
_cell_angle_alpha 90.00
_cell_angle_beta 90.00
_cell_angle_gamma 90.00
_space_group_name_H-M_alt 'F -4 3 m'
_space_group_IT_number 216
_space_group_name_Hall 'F -4 2 3'
loop_
_atom_site_label
_atom_site_fract_x
_atom_site_fract_y
_atom_site_fract_z
_atom_site_occupancy
Er1 0.0000 0.0000 0.0000 1
V1 0.2500 0.2500 0.7500 1
B1 0.1020 0.1020 0.3980 1
```

- Look up the volume of the second one.
  7.8 Å³ per atom

Copy entry 3 word for word.
Here is a geometry-optimized ZrTiPd2 structure from Alexandria via LeMat-Bulk. Energies are from PBE.

**Volume**: 17.3 Å³ per atom
**ΔE_f**: -0.5608 eV/atom
**M_tot**: 0.001 μB per formula unit

```
data_ZrTiPd2
_cell_length_a 3.1005
_cell_length_b 3.1005
_cell_length_c 7.1852
_cell_angle_alpha 90.00
_cell_angle_beta 90.00
_cell_angle_gamma 90.00
_space_group_name_H-M_alt 'P 4/m m m'
_space_group_IT_number 123
_space_group_name_Hall '-P 4 2'
loop_
_atom_site_label
_atom_site_fract_x
_atom_site_fract_y
_atom_site_fract_z
_atom_site_occupancy
Zr1 0.0000 0.0000 0.0000 1
Ti1 0.0000 0.0000 0.5000 1
Pd1 0.5000 0.5000 0.2843 1
```

What did the second record say?
Here is a geometry-optimized Li3TiH6 structure from Alexandria via LeMat-Bulk. Energies are from PBE.

**Volume**: 7.8 Å³ per atom
**M_tot**: 0.803 μB per formula unit
**Total DFT energy (no corrections)**: -3.65 eV per atom

```
data_Li3TiH6
_cell_length_a 5.0935
_cell_length_b 9.7512
_cell_length_c 3.1218
_cell_angle_alpha 90.00
_cell_angle_beta 90.00
_cell_angle_gamma 90.00
_space_group_name_H-M_alt 'P n n m'
_space_group_IT_number 58
_space_group_name_Hall '-P 2 2n'
loop_
_atom_site_label
_atom_site_fract_x
_atom_site_fract_y
_atom_site_fract_z
_atom_site_occupancy
Li1 0.0000 0.0000 0.0000 1
Li2 0.1038 0.2501 0.5000 1
Ti1 0.0000 0.5000 0.0000 1
H1 0.0523 0.6939 0.0000 1
H2 0.1642 0.9070 0.5000 1
H3 0.1661 0.5677 0.5000 1
```